[1]
4
Lattice="-0.228 -4.518 0.061 -3.754 -2.056 1.467 -2.682 -2.170 -2.928" Properties=species:S:1:pos:R:3 comment="PBE-GGA CoOsBr2, relaxed" space_group="No. 225" pbc="T T T"
Co 0.000 0.000 0.000
Br -4.998 -6.558 -1.050
Br -1.666 -2.186 -0.350
Os -3.332 -4.372 -0.700

[2]
4
Lattice="2.874 0.000 0.000 0.000 2.874 0.000 0.000 0.000 7.359" Properties=species:S:1:pos:R:3 comment="PBE-GGA CoOs2Br, relaxed" space_group="No. 99" pbc="T T T"
Co 1.437 1.437 5.575
Os 0.000 0.000 0.008
Os 1.437 1.437 1.642
Br 0.000 0.000 3.812

[3]
4
Lattice="-5.065 1.512 0.623 -2.731 -4.491 -0.837 3.375 2.639 3.158" Properties=species:S:1:pos:R:3 comment="PBE-GGA CoOsBr2, relaxed" space_group="No. 71" pbc="T T T"
Co -1.627 -1.670 1.107
Br -7.770 -2.968 -0.213
Br -3.925 -1.499 -0.108
Os -2.794 1.331 1.837

[4]
4
Lattice="-5.250 0.892 3.353 -2.994 -3.725 4.094 5.530 2.416 -1.784" Properties=species:S:1:pos:R:3 comment="PBE-GGA CoOsBr2, relaxed" space_group="No. 119" pbc="T T T"
Co -4.122 -1.417 3.723
Os -1.921 0.945 2.646
Br -0.793 -1.363 3.016
Br 0.000 0.000 0.000

[5]
4
Lattice="-0.558 0.180 2.960 2.124 -2.077 0.526 4.601 4.850 0.572" Properties=species:S:1:pos:R:3 comment="PBE-GGA CoOs2Br, relaxed" space_group="No. 123" pbc="T T T"
Co 4.234 2.689 2.172
Os 4.339 4.573 0.540
Os 2.563 2.702 0.319
Br 1.934 0.264 1.886

[6]
4
Lattice="3.030 0.000 0.000 0.000 3.028 0.000 0.000 0.000 6.428" Properties=species:S:1:pos:R:3 comment="PBE-GGA Co2OsBr, relaxed" space_group="No. 99" pbc="T T T"
Br 1.515 1.514 5.065
Co 1.515 1.514 1.589
Co 0.000 0.000 0.236
Os 0.000 0.000 2.751

[7]
5
Lattice="-3.828 2.419 -2.260 -3.221 -3.519 1.690 -0.763 2.716 4.201" Properties=species:S:1:pos:R:3 comment="PBE-GGA CoOsBr3, relaxed" space_group="No. 221" pbc="T T T"
Co -3.906 0.808 1.816
Br -0.382 1.358 2.101
Br -1.611 -1.759 0.845
Br -1.914 1.210 -1.130
Os 0.000 0.000 0.000

[8]
4
Lattice="4.112 0.000 0.000 0.000 2.795 -0.045 0.000 -1.315 5.044" Properties=species:S:1:pos:R:3 comment="PBE-GGA Co2OsBr, relaxed" space_group="No. 38" pbc="T T T"
Os 0.000 1.258 2.109
Co 0.000 2.622 0.010
Co 2.056 -0.150 1.439
Br 2.056 1.284 3.895

For each record above, in turn, the calculated spin magnetization values are 1.6, 1.7, 2.7, 4.1, 0.1, 0.9, 3.2, 1.6 μB per formula unit.
For each record above, in turn, the calculated energy relative to the lowest polymorph listed for this composition values are 887, 76, 792, 938, 291, 230, 0, 276 meV per atom.
For each record above, in turn, the calculated formation energy from raw total energies values are 1.327, 0.786, 1.232, 1.378, 1.001, 0.795, 1.101, 0.841 eV/atom.